! BaAl2Co | the Alexandria database | PBE-GGA | relaxed; values from VASP
! ΔH_f (0 K) = 6 kJ per mole of atoms
! size of the total moment = 0.17 μB/atom
! crystal system = tetragonal
&SYSTEM
  ibrav = 0, nat = 4, ntyp = 3
/
ATOMIC_SPECIES
Ba 137.33 Ba.upf
Al 26.98 Al.upf
Co 58.93 Co.upf
ATOMIC_POSITIONS angstrom
Ba 0.0000 0.0000 0.0000
Al 0.0000 0.0000 3.3396
Al 1.6525 1.6525 5.0169
Co 1.6525 1.6525 2.5371
CELL_PARAMETERS angstrom
3.3051 0.0000 0.0000
0.0000 3.3051 0.0000
0.0000 0.0000 7.7308


! BaAlCo2 | the Alexandria database | PBE-GGA | relaxed; values from VASP
! ΔH_f (0 K) = 67 kJ per mole of atoms
! size of the total moment = 0.41 μB/atom
! crystal system = tetragonal
&SYSTEM
  ibrav = 0, nat = 4, ntyp = 3
/
ATOMIC_SPECIES
Ba 137.33 Ba.upf
Al 26.98 Al.upf
Co 58.93 Co.upf
ATOMIC_POSITIONS angstrom
Ba 0.0000 0.0000 0.0000
Al 2.3838 2.3838 0.0000
Co 0.0000 2.3838 1.6134
Co 2.3838 0.0000 1.6134
CELL_PARAMETERS angstrom
4.7676 0.0000 0.0000
0.0000 4.7676 0.0000
0.0000 0.0000 3.2268


! BaAlCo | the Alexandria database | PBE-GGA | relaxed; values from VASP
! ΔH_f (0 K) = 120 kJ per mole of atoms
! size of the total moment = 0.33 μB/atom
! crystal system = cubic
&SYSTEM
  ibrav = 0, nat = 3, ntyp = 3
/
ATOMIC_SPECIES
Ba 137.33 Ba.upf
Al 26.98 Al.upf
Co 58.93 Co.upf
ATOMIC_POSITIONS angstrom
Ba 0.0000 0.0000 0.0000
Al 5.5194 5.5194 5.5194
Co 1.8398 1.8398 1.8398
CELL_PARAMETERS angstrom
0.0000 3.6796 3.6796
3.6796 0.0000 3.6796
3.6796 3.6796 0.0000


! BaAl4Co | the Alexandria database | PBE-GGA | relaxed; values from VASP
! ΔH_f (0 K) = 28 kJ per mole of atoms
! size of the total moment = 0.29 μB/atom
! crystal system = cubic
&SYSTEM
  ibrav = 0, nat = 6, ntyp = 3
/
ATOMIC_SPECIES
Ba 137.33 Ba.upf
Al 26.98 Al.upf
Co 58.93 Co.upf
ATOMIC_POSITIONS angstrom
Ba 0.0000 0.0000 0.0000
Al 2.9827 2.9827 2.9827
Al 4.9603 4.9603 2.9827
Al 4.9603 2.9827 4.9603
Al 2.9827 4.9603 4.9603
Co 5.9572 5.9572 5.9572
CELL_PARAMETERS angstrom
0.0000 3.9715 3.9715
3.9715 0.0000 3.9715
3.9715 3.9715 0.0000


! BaAl2Co | the Alexandria database | PBE-GGA | relaxed; values from VASP
! ΔH_f (0 K) = 2 kJ per mole of atoms
! size of the total moment = 0.00 μB/atom
! crystal system = monoclinic
&SYSTEM
  ibrav = 0, nat = 4, ntyp = 3
/
ATOMIC_SPECIES
Ba 137.33 Ba.upf
Al 26.98 Al.upf
Co 58.93 Co.upf
ATOMIC_POSITIONS angstrom
Ba 0.0000 0.0000 0.0000
Al 0.0024 2.0719 3.2136
Al 1.9553 0.0000 2.9037
Co 1.9588 2.0719 1.9201
CELL_PARAMETERS angstrom
3.9126 0.0000 0.0000
0.0000 4.1438 0.0000
-1.9381 0.0000 6.3102


! BaAl2Co | the Alexandria database | PBE-GGA | relaxed; values from VASP
! ΔH_f (0 K) = 41 kJ per mole of atoms
! size of the total moment = 0.35 μB/atom
! crystal system = tetragonal
&SYSTEM
  ibrav = 0, nat = 4, ntyp = 3
/
ATOMIC_SPECIES
Ba 137.33 Ba.upf
Al 26.98 Al.upf
Co 58.93 Co.upf
ATOMIC_POSITIONS angstrom
Ba 0.0000 0.0000 0.0000
Al 0.0000 0.0000 3.4995
Al 0.0000 2.4793 1.7498
Co 2.4793 0.0000 1.7498
CELL_PARAMETERS angstrom
-2.4793 2.4793 3.4995
2.4793 -2.4793 3.4995
2.4793 2.4793 -3.4995


! BaAl2Co | the Alexandria database | PBE-GGA | relaxed; values from VASP
! ΔH_f (0 K) = 23 kJ per mole of atoms
! size of the total moment = 0.11 μB/atom
! crystal system = orthorhombic
&SYSTEM
  ibrav = 0, nat = 4, ntyp = 3
/
ATOMIC_SPECIES
Ba 137.33 Ba.upf
Al 26.98 Al.upf
Co 58.93 Co.upf
ATOMIC_POSITIONS angstrom
Ba 0.0000 0.0000 0.0000
Al 1.5503 0.0000 3.1985
Al 0.0000 2.8261 1.9086
Co 0.0000 0.0000 5.1071
CELL_PARAMETERS angstrom
-1.5503 2.8261 5.1071
1.5503 -2.8261 5.1071
1.5503 2.8261 -5.1071


! BaAlCo | the Alexandria database | PBE-GGA | relaxed; values from VASP
! ΔH_f (0 K) = 15 kJ per mole of atoms
! size of the total moment = 0.30 μB/atom
! crystal system = tetragonal
&SYSTEM
  ibrav = 0, nat = 3, ntyp = 3
/
ATOMIC_SPECIES
Ba 137.33 Ba.upf
Al 26.98 Al.upf
Co 58.93 Co.upf
ATOMIC_POSITIONS angstrom
Ba 0.0000 0.0000 0.0000
Al 0.0000 0.0000 3.2741
Co 0.0000 0.0000 8.5483
CELL_PARAMETERS angstrom
-1.6707 1.6707 6.0461
1.6707 -1.6707 6.0461
1.6707 1.6707 -6.0461


! BaAlCo2 | the Alexandria database | PBE-GGA | relaxed; values from VASP
! ΔH_f (0 K) = 26 kJ per mole of atoms
! size of the total moment = 0.61 μB/atom
! crystal system = tetragonal
&SYSTEM
  ibrav = 0, nat = 4, ntyp = 3
/
ATOMIC_SPECIES
Ba 137.33 Ba.upf
Al 26.98 Al.upf
Co 58.93 Co.upf
ATOMIC_POSITIONS angstrom
Ba 0.0000 0.0000 0.0000
Al 0.0000 0.0000 3.5561
Co 1.6431 1.6431 2.4432
Co 1.6431 1.6431 4.6690
CELL_PARAMETERS angstrom
3.2861 0.0000 0.0000
0.0000 3.2861 0.0000
0.0000 0.0000 7.1122


! BaAlCo | the Alexandria database | PBE-GGA | relaxed; values from VASP
! ΔH_f (0 K) = 46 kJ per mole of atoms
! size of the total moment = 0.00 μB/atom
! crystal system = cubic
&SYSTEM
  ibrav = 0, nat = 3, ntyp = 3
/
ATOMIC_SPECIES
Ba 137.33 Ba.upf
Al 26.98 Al.upf
Co 58.93 Co.upf
ATOMIC_POSITIONS angstrom
Ba 0.0000 0.0000 0.0000
Al 3.3756 3.3756 3.3756
Co 1.6878 1.6878 1.6878
CELL_PARAMETERS angstrom
0.0000 3.3756 3.3756
3.3756 0.0000 3.3756
3.3756 3.3756 0.0000


! BaAlCo2 | the Alexandria database | PBE-GGA | relaxed; values from VASP
! ΔH_f (0 K) = 82 kJ per mole of atoms
! size of the total moment = 0.81 μB/atom
! crystal system = cubic
&SYSTEM
  ibrav = 0, nat = 4, ntyp = 3
/
ATOMIC_SPECIES
Ba 137.33 Ba.upf
Al 26.98 Al.upf
Co 58.93 Co.upf
ATOMIC_POSITIONS angstrom
Ba 0.0000 0.0000 0.0000
Al 1.7271 1.7271 1.7271
Co 3.4541 3.4541 3.4541
Co 5.1812 5.1812 5.1812
CELL_PARAMETERS angstrom
0.0000 3.4541 3.4541
3.4541 0.0000 3.4541
3.4541 3.4541 0.0000


! BaAlCo | the Alexandria database | PBE-GGA | relaxed; values from VASP
! ΔH_f (0 K) = 11 kJ per mole of atoms
! size of the total moment = 0.00 μB/atom
! crystal system = hexagonal
&SYSTEM
  ibrav = 0, nat = 3, ntyp = 3
/
ATOMIC_SPECIES
Ba 137.33 Ba.upf
Al 26.98 Al.upf
Co 58.93 Co.upf
ATOMIC_POSITIONS angstrom
Ba 0.0000 0.0000 0.0000
Al 0.0000 2.4299 2.5123
Co 2.1044 1.2149 2.5123
CELL_PARAMETERS angstrom
4.2087 0.0000 0.0000
-2.1044 3.6448 0.0000
0.0000 0.0000 5.0246


! BaAl2Co | the Alexandria database | PBE-GGA | relaxed; values from VASP
! ΔH_f (0 K) = -6 kJ per mole of atoms
! size of the total moment = 0.20 μB/atom
! crystal system = tetragonal
&SYSTEM
  ibrav = 0, nat = 4, ntyp = 3
/
ATOMIC_SPECIES
Ba 137.33 Ba.upf
Al 26.98 Al.upf
Co 58.93 Co.upf
ATOMIC_POSITIONS angstrom
Ba 0.0000 0.0000 0.0000
Al 1.5711 1.5711 2.7549
Al 1.5711 1.5711 5.3856
Co 0.0000 0.0000 4.0703
CELL_PARAMETERS angstrom
3.1423 0.0000 0.0000
0.0000 3.1423 0.0000
0.0000 0.0000 8.1405


! BaAl2Co | the Alexandria database | PBE-GGA | relaxed; values from VASP
! ΔH_f (0 K) = 0 kJ per mole of atoms
! size of the total moment = 0.00 μB/atom
! crystal system = tetragonal
&SYSTEM
  ibrav = 0, nat = 8, ntyp = 3
/
ATOMIC_SPECIES
Ba 137.33 Ba.upf
Al 26.98 Al.upf
Co 58.93 Co.upf
ATOMIC_POSITIONS angstrom
Ba 2.8241 1.4120 1.7618
Ba 0.0000 1.4120 5.2854
Al 0.0000 0.0000 0.0000
Al 1.4120 1.4120 -3.5236
Al 1.4120 -1.4120 3.5236
Al 0.0000 2.8241 0.0000
Co 2.8241 -1.4120 5.2854
Co 0.0000 4.2361 1.7618
CELL_PARAMETERS angstrom
-2.8241 2.8241 7.0473
2.8241 -2.8241 7.0473
2.8241 2.8241 -7.0473


! BaAlCo2 | the Alexandria database | PBE-GGA | relaxed; values from VASP
! ΔH_f (0 K) = 26 kJ per mole of atoms
! size of the total moment = 0.74 μB/atom
! crystal system = tetragonal
&SYSTEM
  ibrav = 0, nat = 4, ntyp = 3
/
ATOMIC_SPECIES
Ba 137.33 Ba.upf
Al 26.98 Al.upf
Co 58.93 Co.upf
ATOMIC_POSITIONS angstrom
Ba 0.0000 0.0000 0.0000
Al 1.5841 1.5841 4.8761
Co 0.0000 0.0000 3.4950
Co 1.5841 1.5841 2.4687
CELL_PARAMETERS angstrom
3.1683 0.0000 0.0000
0.0000 3.1683 0.0000
0.0000 0.0000 7.5991


! BaAlCo2 | the Alexandria database | PBE-GGA | relaxed; values from VASP
! ΔH_f (0 K) = -4 kJ per mole of atoms
! size of the total moment = 0.61 μB/atom
! crystal system = trigonal
&SYSTEM
  ibrav = 0, nat = 4, ntyp = 3
/
ATOMIC_SPECIES
Ba 137.33 Ba.upf
Al 26.98 Al.upf
Co 58.93 Co.upf
ATOMIC_POSITIONS angstrom
Ba 0.0000 0.0000 0.0000
Al 0.0000 0.0000 3.2654
Co 0.0000 0.0000 8.6262
Co 0.0000 0.0000 14.3731
CELL_PARAMETERS angstrom
2.0796 1.2007 5.9048
-2.0796 1.2007 5.9048
0.0000 -2.4014 5.9048


! BaAl2Co | the Alexandria database | PBE-GGA | relaxed; values from VASP
! ΔH_f (0 K) = 51 kJ per mole of atoms
! size of the total moment = 0.26 μB/atom
! crystal system = tetragonal
&SYSTEM
  ibrav = 0, nat = 4, ntyp = 3
/
ATOMIC_SPECIES
Ba 137.33 Ba.upf
Al 26.98 Al.upf
Co 58.93 Co.upf
ATOMIC_POSITIONS angstrom
Ba 0.0000 0.0000 0.0000
Al 0.0000 2.0879 2.5738
Al 2.0879 0.0000 2.5738
Co 2.0879 2.0879 0.0000
CELL_PARAMETERS angstrom
4.1757 0.0000 0.0000
0.0000 4.1757 0.0000
0.0000 0.0000 5.1475


! BaAlCo4 | the Alexandria database | PBE-GGA | relaxed; values from VASP
! ΔH_f (0 K) = 39 kJ per mole of atoms
! size of the total moment = 0.87 μB/atom
! crystal system = cubic
&SYSTEM
  ibrav = 0, nat = 6, ntyp = 3
/
ATOMIC_SPECIES
Ba 137.33 Ba.upf
Al 26.98 Al.upf
Co 58.93 Co.upf
ATOMIC_POSITIONS angstrom
Ba 0.0000 0.0000 0.0000
Al 1.8107 1.8107 1.8107
Co 4.5068 2.7362 2.7362
Co 2.7362 4.5068 2.7362
Co 2.7362 2.7362 4.5068
Co 4.5068 4.5068 4.5068
CELL_PARAMETERS angstrom
0.0000 3.6215 3.6215
3.6215 0.0000 3.6215
3.6215 3.6215 0.0000


! BaAlCo2 | the Alexandria database | PBE-GGA | relaxed; values from VASP
! ΔH_f (0 K) = 29 kJ per mole of atoms
! size of the total moment = 0.48 μB/atom
! crystal system = tetragonal
&SYSTEM
  ibrav = 0, nat = 8, ntyp = 3
/
ATOMIC_SPECIES
Ba 137.33 Ba.upf
Al 26.98 Al.upf
Co 58.93 Co.upf
ATOMIC_POSITIONS angstrom
Ba 2.3983 1.1992 2.0699
Ba 0.0000 1.1992 6.2096
Al 2.3983 -1.1992 6.2096
Al 0.0000 3.5975 2.0699
Co 0.0000 0.0000 0.0000
Co 1.1992 1.1992 -4.1397
Co 1.1992 -1.1992 4.1397
Co 0.0000 2.3983 0.0000
CELL_PARAMETERS angstrom
-2.3983 2.3983 8.2794
2.3983 -2.3983 8.2794
2.3983 2.3983 -8.2794


! BaAl3Co | the Alexandria database | PBE-GGA | relaxed; values from VASP
! ΔH_f (0 K) = -27 kJ per mole of atoms
! size of the total moment = 0.00 μB/atom
! crystal system = cubic
&SYSTEM
  ibrav = 0, nat = 5, ntyp = 3
/
ATOMIC_SPECIES
Ba 137.33 Ba.upf
Al 26.98 Al.upf
Co 58.93 Co.upf
ATOMIC_POSITIONS angstrom
Ba 0.0000 0.0000 0.0000
Al 0.0000 2.3494 2.3494
Al 2.3494 0.0000 2.3494
Al 2.3494 2.3494 0.0000
Co 2.3494 2.3494 2.3494
CELL_PARAMETERS angstrom
4.6987 0.0000 0.0000
0.0000 4.6987 0.0000
0.0000 0.0000 4.6987


Number 1: energy -4.06 eV/atom. Number 2: energy -4.27 eV/atom. Number 3: energy -3.01 eV/atom. Number 4: energy -3.71 eV/atom. Number 5: energy -4.11 eV/atom. Number 6: energy -3.70 eV/atom. Number 7: energy -3.89 eV/atom. Number 8: energy -4.11 eV/atom. Number 9: energy -4.70 eV/atom. Number 10: energy -3.78 eV/atom. Number 11: energy -4.12 eV/atom. Number 12: energy -4.15 eV/atom. Number 13: energy -4.19 eV/atom. Number 14: energy -4.13 eV/atom. Number 15: energy -4.70 eV/atom. Number 16: energy -5.01 eV/atom. Number 17: energy -3.60 eV/atom. Number 18: energy -5.28 eV/atom. Number 19: energy -4.67 eV/atom. Number 20: energy -4.34 eV/atom.